Material: Tb8InS4
Method: DFT, PBE
State: relaxed

## Properties
E_tot: -145.32 eV/cell
ΔE_f (raw): -1.2594 eV per atom

Unit cell a=18.5942 b=3.8690 c=13.1477 alpha=90.00 beta=134.92 gamma=90.00
Last column: nearest neighbours and their distance in Å.
Space group C2/m (No. 12)
One atom of each set of equivalent atoms:
1 Tb 0.0451 0.0000 0.2053 x4  3 S 2.70-2.72
2 Tb 0.1284 0.5000 0.7924 x4  3 S 2.75-2.83
3 Tb 0.1585 0.5000 0.1138 x4  3 S 2.70-2.72
4 Tb 0.1647 0.5000 0.5371 x4  3 S 2.75-2.84
5 In 0.0000 0.0000 0.5000 x2  8 Tb 3.35-3.36
6 S 0.1580 0.0000 0.9674 x4  6 Tb 2.70-2.83
7 S 0.1904 0.5000 0.3486 x4  6 Tb 2.70-2.84